The following is a DFT calculation (GGA-PBE) of crystalline Be2AgH at its relaxed geometry.

Geometry as POSCAR:
```
Be2AgH
1.0
5.5097 0.0000 0.0000
0.0000 5.5097 0.0000
0.0000 0.0000 5.5097
Be Ag H
8 4 4
Cartesian
1.3774 1.3774 1.3774
1.3774 1.3774 4.1323
1.3774 4.1323 1.3774
1.3774 4.1323 4.1323
4.1323 1.3774 1.3774
4.1323 1.3774 4.1323
4.1323 4.1323 1.3774
4.1323 4.1323 4.1323
0.0000 0.0000 0.0000
0.0000 2.7548 2.7548
2.7548 0.0000 2.7548
2.7548 2.7548 0.0000
0.0000 0.0000 2.7548
0.0000 2.7548 0.0000
2.7548 0.0000 0.0000
2.7548 2.7548 2.7548
```

Values from the calculation:
The space group is Fm-3m (225). The value obtained for the energy above the most stable polymorph in this dataset is 188 kJ/mol of formula units. The uncorrected energy is -42.08 eV/cell.